A plane-wave DFT calculation with PBE was carried out for a relaxed structure of CdSi2Hg.

Results
- Final energy: -2.54 eV per atom
- Magnetization: 0.0 μB per cell
- ΔE to the lowest computed polymorph: 258 meV/atom
- Energy relative to the elements, uncorrected: 45.57 kJ/mol of atoms
- Fermi-level density of states: 0.12 states/eV/atom

Cell: 11.609 11.609 11.609 Å, 14.18 14.18 14.18°
Fractional coordinates of all 4 atoms:
Cd1 0.250 0.250 0.250
Hg1 0.750 0.750 0.750
Si1 0.996 0.996 0.996
Si2 0.504 0.504 0.504